The following is a GGA-PBE calculation of YHg2Se after structural relaxation, from the Alexandria database.

Cell: 4.1075 4.1075 25.3008 Å, 90.00 90.00 120.00°
With the nearest neighbours (Å) after each atom.
Atoms (fractional coordinates):
Y  0.0000  0.0000  0.0000  3 Se 2.75
Y  0.3333  0.6667  0.6667  3 Se 2.75
Y  0.6667  0.3333  0.3333  3 Se 2.75
Hg  0.0000  0.0000  0.2460  3 Hg 3.07, 3 Y 3.24
Hg  0.0000  0.0000  0.5022  3 Hg 3.07
Hg  0.3333  0.6667  0.1689  3 Hg 3.07
Hg  0.3333  0.6667  0.9127  3 Hg 3.07, 3 Y 3.24
Hg  0.6667  0.3333  0.5794  3 Hg 3.07, 3 Y 3.24
Hg  0.6667  0.3333  0.8356  3 Hg 3.07
Se  0.0000  0.0000  0.7218  3 Y 2.75
Se  0.3333  0.6667  0.3885  3 Y 2.75
Se  0.6667  0.3333  0.0551  3 Y 2.75

Calculated values
Total moment = 0.000 μB per formula unit
E_tot = -3.336 eV per atom
Formation energy without anion corrections = -0.6975 eV/atom
Volume = 369.7 Å³/cell


The following is a GGA-PBE calculation of YHgSe after structural relaxation, from the Alexandria database.

Cell: 4.1092 4.1092 6.2733 Å, 90.00 90.00 120.00°
With the nearest neighbours (Å) after each atom.
Atoms (fractional coordinates):
Y  0.0000  0.0000  0.0000  3 Se 2.76
Hg  0.3333  0.6667  0.3347  3 Y 3.17
Se  0.6667  0.3333  0.7736  3 Y 2.76

Calculated values
Total moment = 0.000 μB per formula unit
E_tot = -4.308 eV per atom
Relative energy among the computed polymorphs = 0.0476 eV per atom
Formation energy without anion corrections = -0.8912 eV/atom
Volume = 91.7 Å³/cell


The following is a GGA-PBE calculation of YHg4Se after structural relaxation, from the Alexandria database.

Cell: 6.0018 6.0018 6.0018 Å, 60.00 60.00 60.00°
With the nearest neighbours (Å) after each atom.
Atoms (fractional coordinates):
Y  0.0000  0.0000  0.0000  12 Hg 3.52, 4 Se 3.68
Hg  0.1258  0.6247  0.6247  6 Hg 2.99-3.01
Hg  0.6247  0.1258  0.6247  6 Hg 2.99-3.01
Hg  0.6247  0.6247  0.1258  6 Hg 2.99-3.01
Hg  0.6247  0.6247  0.6247  6 Hg 2.99-3.01
Se  0.2500  0.2500  0.2500  12 Hg 3.52, 4 Y 3.68

Calculated values
Total moment = 0.000 μB per formula unit
E_tot = -1.940 eV per atom
Formation energy without anion corrections = -0.0804 eV/atom
Volume = 152.9 Å³/cell


The following is a GGA-PBE calculation of YHg2Se after structural relaxation, from the Alexandria database.

Cell: 8.5567 8.5567 5.7581 Å, 90.00 90.00 90.00°
With the nearest neighbours (Å) after each atom.
Atoms (fractional coordinates):
Y  0.0000  0.0000  0.0000  2 Se 2.88, 4 Hg 3.14
Y  0.0000  0.5000  0.2500  2 Se 2.88, 4 Hg 3.14
Y  0.5000  0.0000  0.7500  2 Se 2.88, 4 Hg 3.14
Y  0.5000  0.5000  0.5000  2 Se 2.88, 4 Hg 3.14
Hg  0.2443  0.7500  0.6250  2 Hg 2.88, 2 Se 3.08, 2 Y 3.14
Hg  0.2500  0.2443  0.3750  2 Hg 2.88, 2 Se 3.08, 2 Y 3.14
Hg  0.2500  0.2557  0.8750  2 Hg 2.88, 2 Se 3.08, 2 Y 3.14
Hg  0.2557  0.7500  0.1250  2 Hg 2.88, 2 Se 3.08, 2 Y 3.14
Hg  0.7443  0.2500  0.1250  2 Hg 2.88, 2 Se 3.08, 2 Y 3.14
Hg  0.7500  0.7443  0.8750  2 Hg 2.88, 2 Se 3.08, 2 Y 3.14
Hg  0.7500  0.7557  0.3750  2 Hg 2.88, 2 Se 3.08, 2 Y 3.14
Hg  0.7557  0.2500  0.6250  2 Hg 2.88, 2 Se 3.08, 2 Y 3.14
Se  0.0000  0.0000  0.5000  2 Y 2.88, 4 Hg 3.08
Se  0.0000  0.5000  0.7500  2 Y 2.88, 4 Hg 3.08
Se  0.5000  0.0000  0.2500  2 Y 2.88, 4 Hg 3.08
Se  0.5000  0.5000  0.0000  2 Y 2.88, 4 Hg 3.08

Calculated values
Total moment = 0.007 μB per formula unit
E_tot = -3.198 eV per atom
Formation energy without anion corrections = -0.5599 eV/atom
Volume = 421.6 Å³/cell


The following is a GGA-PBE calculation of YHg2Se after structural relaxation, from the Alexandria database.

Cell: 4.2433 4.2433 20.8719 Å, 90.00 90.00 120.00°
With the nearest neighbours (Å) after each atom.
Atoms (fractional coordinates):
Y  0.0000  0.0000  0.0000  6 Hg 3.06
Y  0.3333  0.6667  0.6667  6 Hg 3.06
Y  0.6667  0.3333  0.3333  6 Hg 3.06
Hg  0.0000  0.0000  0.2453  3 Se 2.95, 3 Y 3.06
Hg  0.0000  0.0000  0.7547  3 Se 2.95, 3 Y 3.06
Hg  0.3333  0.6667  0.4214  3 Se 2.95, 3 Y 3.06
Hg  0.3333  0.6667  0.9120  3 Se 2.95, 3 Y 3.06
Hg  0.6667  0.3333  0.0880  3 Se 2.95, 3 Y 3.06
Hg  0.6667  0.3333  0.5786  3 Se 2.95, 3 Y 3.06
Se  0.0000  0.0000  0.5000  6 Hg 2.95
Se  0.3333  0.6667  0.1667  6 Hg 2.95
Se  0.6667  0.3333  0.8333  6 Hg 2.95

Calculated values
Total moment = 0.000 μB per formula unit
E_tot = -2.959 eV per atom
Formation energy without anion corrections = -0.3208 eV/atom
Volume = 325.5 Å³/cell


The following is a GGA-PBE calculation of Y4HgSe3 after structural relaxation, from the Alexandria database.

Cell: 8.4979 11.7736 4.0495 Å, 90.00 90.00 90.00°
With the nearest neighbours (Å) after each atom.
Atoms (fractional coordinates):
Y  0.0000  0.2495  0.0000  5 Se 2.93-2.94, 1 Hg 2.95
Y  0.0000  0.7505  0.0000  5 Se 2.93-2.94, 1 Hg 2.95
Y  0.2455  0.0000  0.5000  4 Se 2.91-2.94, 2 Hg 2.96
Y  0.2545  0.5000  0.5000  4 Se 2.91-2.94, 2 Hg 2.96
Y  0.5000  0.2505  0.0000  5 Se 2.93-2.94, 1 Hg 2.95
Y  0.5000  0.7495  0.0000  5 Se 2.93-2.94, 1 Hg 2.95
Y  0.7455  0.5000  0.5000  4 Se 2.91-2.94, 2 Hg 2.96
Y  0.7545  0.0000  0.5000  4 Se 2.91-2.94, 2 Hg 2.96
Hg  0.0000  0.5000  0.0000  6 Y 2.95-2.96
Hg  0.5000  0.0000  0.0000  6 Y 2.95-2.96
Se  0.0000  0.0000  0.0000  6 Y 2.91-2.94
Se  0.2500  0.2500  0.5000  6 Y 2.93-2.94
Se  0.2500  0.7500  0.5000  6 Y 2.93-2.94
Se  0.5000  0.5000  0.0000  6 Y 2.91-2.94
Se  0.7500  0.2500  0.5000  6 Y 2.93-2.94
Se  0.7500  0.7500  0.5000  6 Y 2.93-2.94

Calculated values
Total moment = 0.000 μB per formula unit
E_tot = -6.017 eV per atom
Formation energy without anion corrections = -1.4403 eV/atom
Volume = 405.2 Å³/cell


The following is a GGA-PBE calculation of YHg2Se after structural relaxation, from the Alexandria database.

Cell: 4.1377 4.1377 5.8855 Å, 90.00 90.00 90.00°
With the nearest neighbours (Å) after each atom.
Atoms (fractional coordinates):
Y  0.0000  0.0000  0.0000  4 Se 2.93
Hg  0.0000  0.5000  0.5000  4 Hg 2.93
Hg  0.5000  0.0000  0.5000  4 Hg 2.93
Se  0.5000  0.5000  0.0000  4 Y 2.93

Calculated values
Total moment = 0.000 μB per formula unit
E_tot = -3.338 eV per atom
Formation energy without anion corrections = -0.7004 eV/atom
Volume = 100.8 Å³/cell


The following is a GGA-PBE calculation of Y4HgSe after structural relaxation, from the Alexandria database.

Cell: 6.3001 6.3001 6.3001 Å, 60.00 60.00 60.00°
With the nearest neighbours (Å) after each atom.
Atoms (fractional coordinates):
Y  0.1244  0.1244  0.1244  6 Y 3.14-3.16
Y  0.1244  0.1244  0.6267  6 Y 3.14-3.16
Y  0.1244  0.6267  0.1244  6 Y 3.14-3.16
Y  0.6267  0.1244  0.1244  6 Y 3.14-3.16
Hg  0.7500  0.7500  0.7500  12 Y 3.69, 4 Se 3.86
Se  0.5000  0.5000  0.5000  12 Y 3.70, 4 Hg 3.86

Calculated values
Total moment = 0.000 μB per formula unit
E_tot = -4.738 eV per atom
Formation energy without anion corrections = 0.2020 eV/atom
Volume = 176.8 Å³/cell


The following is a GGA-PBE calculation of YHgSe after structural relaxation, from the Alexandria database.

Cell: 5.7075 11.5614 5.6329 Å, 90.00 90.06 90.00°
With the nearest neighbours (Å) after each atom.
Atoms (fractional coordinates):
Y  0.2500  0.0000  0.2205  4 Se 2.81-2.88
Y  0.2500  0.5000  0.7795  4 Se 2.81-2.88
Y  0.7500  0.0000  0.7795  4 Se 2.81-2.88
Y  0.7500  0.5000  0.2205  4 Se 2.81-2.88
Hg  0.0000  0.2496  0.0000  2 Hg 2.85
Hg  0.0000  0.7504  0.0000  2 Hg 2.85
Hg  0.5000  0.2504  0.0000  2 Hg 2.85
Hg  0.5000  0.7496  0.0000  2 Hg 2.85
Se  0.2501  0.0000  0.7192  4 Y 2.81-2.88
Se  0.2499  0.5000  0.2808  4 Y 2.81-2.88
Se  0.7499  0.0000  0.2808  4 Y 2.81-2.88
Se  0.7501  0.5000  0.7192  4 Y 2.81-2.88

Calculated values
Total moment = 0.000 μB per formula unit
E_tot = -4.308 eV per atom
Relative energy among the computed polymorphs = 0.0478 eV per atom
Formation energy without anion corrections = -0.8911 eV/atom
Volume = 371.7 Å³/cell


The following is a GGA-PBE calculation of YHgSe after structural relaxation, from the Alexandria database.

Cell: 6.9546 6.9546 6.9546 Å, 90.00 90.00 90.00°
With the nearest neighbours (Å) after each atom.
Atoms (fractional coordinates):
Y  0.0000  0.0000  0.0000  4 Se 3.01
Y  0.0000  0.5000  0.5000  4 Se 3.01
Y  0.5000  0.0000  0.5000  4 Se 3.01
Y  0.5000  0.5000  0.0000  4 Se 3.01
Hg  0.0000  0.0000  0.5000  4 Se 3.01
Hg  0.0000  0.5000  0.0000  4 Se 3.01
Hg  0.5000  0.0000  0.0000  4 Se 3.01
Hg  0.5000  0.5000  0.5000  4 Se 3.01
Se  0.2500  0.2500  0.7500  4 Hg 3.01, 4 Y 3.01
Se  0.2500  0.7500  0.2500  4 Hg 3.01, 4 Y 3.01
Se  0.7500  0.2500  0.2500  4 Hg 3.01, 4 Y 3.01
Se  0.7500  0.7500  0.7500  4 Hg 3.01, 4 Y 3.01

Calculated values
Total moment = 0.000 μB per formula unit
E_tot = -4.072 eV per atom
Relative energy among the computed polymorphs = 0.2834 eV per atom
Formation energy without anion corrections = -0.6555 eV/atom
Volume = 336.4 Å³/cell


The following is a GGA-PBE calculation of YHg2Se after structural relaxation, from the Alexandria database.

Cell: 7.2870 7.2870 7.2870 Å, 90.00 90.00 90.00°
With the nearest neighbours (Å) after each atom.
Atoms (fractional coordinates):
Y  0.0000  0.0000  0.0000  4 Hg 3.16, 4 Se 3.16
Y  0.0000  0.5000  0.5000  4 Se 3.16, 4 Hg 3.16
Y  0.5000  0.0000  0.5000  4 Se 3.16, 4 Hg 3.16
Y  0.5000  0.5000  0.0000  4 Se 3.16, 4 Hg 3.16
Hg  0.0000  0.0000  0.5000  4 Hg 3.16, 4 Se 3.16
Hg  0.0000  0.5000  0.0000  4 Hg 3.16, 4 Se 3.16
Hg  0.2500  0.2500  0.7500  4 Hg 3.16, 4 Y 3.16
Hg  0.2500  0.7500  0.2500  4 Hg 3.16, 4 Y 3.16
Hg  0.5000  0.0000  0.0000  4 Hg 3.16, 4 Se 3.16
Hg  0.5000  0.5000  0.5000  4 Hg 3.16, 4 Se 3.16
Hg  0.7500  0.2500  0.2500  4 Hg 3.16, 4 Y 3.16
Hg  0.7500  0.7500  0.7500  4 Hg 3.16, 4 Y 3.16
Se  0.2500  0.2500  0.2500  4 Hg 3.16, 4 Y 3.16
Se  0.2500  0.7500  0.7500  4 Hg 3.16, 4 Y 3.16
Se  0.7500  0.2500  0.7500  4 Hg 3.16, 4 Y 3.16
Se  0.7500  0.7500  0.2500  4 Hg 3.16, 4 Y 3.16

Calculated values
Total moment = 0.000 μB per formula unit
E_tot = -3.164 eV per atom
Formation energy without anion corrections = -0.5258 eV/atom
Volume = 386.9 Å³/cell


The following is a GGA-PBE calculation of YHg2Se after structural relaxation, from the Alexandria database.

Cell: 4.0562 5.1616 10.0425 Å, 90.00 90.00 90.00°
With the nearest neighbours (Å) after each atom.
Atoms (fractional coordinates):
Y  0.0000  0.0000  0.0000  2 Se 2.80
Y  0.5000  0.5000  0.5000  2 Se 2.80
Hg  0.0000  0.0000  0.5101  4 Y 3.28, 4 Se 3.29-3.61, 4 Hg 3.34-3.50
Hg  0.0000  0.5000  0.7459  2 Y 3.20, 4 Hg 3.34-3.50, 4 Se 3.34
Hg  0.5000  0.0000  0.2459  2 Y 3.20, 4 Hg 3.34-3.50, 4 Se 3.34
Hg  0.5000  0.5000  0.0101  4 Y 3.28, 4 Se 3.29-3.61, 4 Hg 3.34-3.50
Se  0.0000  0.5000  0.3076  2 Y 2.80
Se  0.5000  0.0000  0.8076  2 Y 2.80

Calculated values
Total moment = 0.000 μB per formula unit
E_tot = -3.225 eV per atom
Formation energy without anion corrections = -0.5870 eV/atom
Volume = 210.3 Å³/cell